[1]
Computed, not measured: a relaxed Nd2CCl2 crystal at the PBE level of DFT.

Cell lengths 3.8032, 3.8032, 31.3839 Å; angles 90.00, 90.00, 120.00 degrees
Closest atoms and distances in Å follow each position.
Fractional positions:
Nd  0.0000  0.0000  0.1201  3 C 2.64, 3 Cl 2.89
Nd  0.0000  0.0000  0.8799  3 C 2.64, 3 Cl 2.89
Nd  0.3333  0.6667  0.5466  3 C 2.64, 3 Cl 2.89
Nd  0.3333  0.6667  0.7868  3 C 2.64, 3 Cl 2.89
Nd  0.6667  0.3333  0.2132  3 C 2.64, 3 Cl 2.89
Nd  0.6667  0.3333  0.4534  3 C 2.64, 3 Cl 2.89
C  0.0000  0.0000  0.5000  6 Nd 2.64
C  0.3333  0.6667  0.1667  6 Nd 2.64
C  0.6667  0.3333  0.8333  6 Nd 2.64
Cl  0.0000  0.0000  0.3934  3 Nd 2.89
Cl  0.0000  0.0000  0.6066  3 Nd 2.89
Cl  0.3333  0.6667  0.0600  3 Nd 2.89
Cl  0.3333  0.6667  0.2733  3 Nd 2.89
Cl  0.6667  0.3333  0.7267  3 Nd 2.89
Cl  0.6667  0.3333  0.9400  3 Nd 2.89

Summary:
Volume   393.1 Å³/cell
Total magnetic moment   0.00 Bohr magnetons per cell
Symmetry   R-3m (166)
Formation energy from raw total energies   -1.295 eV per atom
Raw total energy   -86.8 eV for the cell shown
Mass density   4.71 g/cm3

[2]
Computed, not measured: a relaxed Mg5Si6 crystal at the PBE level of DFT.

Cell lengths 14.4986, 14.4986, 6.9837 Å; angles 101.33, 101.33, 16.28 degrees
Closest atoms and distances in Å follow each position.
Fractional positions:
Mg  0.0000  0.0000  0.0000  4 Si 2.70-2.76
Mg  0.1354  0.1354  0.4201  8 Si 2.82-3.09
Mg  0.1779  0.1779  0.9403  3 Si 2.65-2.76
Mg  0.2525  0.2525  0.3784  8 Si 2.86-3.01, 2 Mg 3.18
Mg  0.2915  0.2915  0.9057  6 Si 2.83-3.07
Mg  0.4562  0.4562  0.2429  4 Si 2.69-2.75
Mg  0.5185  0.5185  0.6834  7 Si 2.72-2.91
Mg  0.7140  0.7140  0.6587  4 Si 2.74-2.84
Mg  0.8835  0.8835  0.9860  8 Si 2.90-3.13, 2 Mg 3.21
Mg  0.9291  0.9291  0.5490  7 Si 2.89-3.08, 2 Mg 3.17
Si  0.0160  0.0160  0.3947  2 Si 2.48, 3 Mg 2.70-2.75
Si  0.0836  0.0836  0.8703  4 Si 2.56-2.65, 2 Mg 2.65-2.73
Si  0.3618  0.3618  0.6423  4 Si 2.40-2.51
Si  0.3655  0.3655  0.2900  3 Si 2.46-2.48, 1 Mg 2.69
Si  0.4399  0.4399  0.8466  1 Si 2.40
Si  0.5631  0.5631  0.3705  4 Si 2.45-2.51
Si  0.6024  0.6024  0.0904  4 Si 2.39-2.56
Si  0.6174  0.6174  0.6999  3 Si 2.51-2.65
Si  0.6835  0.6835  0.2602  2 Si 2.39
Si  0.7416  0.7416  0.0569  2 Si 2.38-2.39
Si  0.8107  0.8107  0.6292  3 Si 2.51-2.55
Si  0.8173  0.8173  0.2711  4 Si 2.38-2.55

Summary:
Volume   403.4 Å³/cell
Total magnetic moment   0.00 Bohr magnetons per cell
DOS at the Fermi energy   7.009 states/eV/cell
Symmetry   Cm (8)
Formation energy from raw total energies   0.043 eV per atom
Raw total energy   -80.1 eV for the cell shown
ΔE to the lowest computed polymorph   18 meV per atom
Mass density   2.39 g/cm3

[3]
Computed, not measured: a relaxed AcGaPdRh crystal at the PBE level of DFT.

Cell lengths 4.3416, 4.3416, 16.6355 Å; angles 90.00, 90.00, 120.00 degrees
Closest atoms and distances in Å follow each position.
Fractional positions:
Ac  0.0000  0.0000  0.0000  3 Rh 3.17, 4 Pd 3.23-3.41, 4 Ga 3.29-3.37
Ac  0.3333  0.6667  0.6667  3 Rh 3.17, 4 Pd 3.23-3.41, 4 Ga 3.29-3.37
Ac  0.6667  0.3333  0.3333  3 Rh 3.17, 4 Pd 3.23-3.41, 4 Ga 3.29-3.37
Ga  0.0000  0.0000  0.8023  3 Rh 2.53, 3 Pd 2.69
Ga  0.3333  0.6667  0.4689  3 Rh 2.53, 3 Pd 2.69
Ga  0.6667  0.3333  0.1356  3 Rh 2.53, 3 Pd 2.69
Pd  0.0000  0.0000  0.1941  3 Ga 2.69, 3 Rh 2.82
Pd  0.3333  0.6667  0.8607  3 Ga 2.69, 3 Rh 2.82
Pd  0.6667  0.3333  0.5274  3 Ga 2.69, 3 Rh 2.82
Rh  0.0000  0.0000  0.4497  3 Ga 2.53, 3 Pd 2.82
Rh  0.3333  0.6667  0.1164  3 Ga 2.53, 3 Pd 2.82
Rh  0.6667  0.3333  0.7830  3 Ga 2.53, 3 Pd 2.82

Summary:
Volume   271.6 Å³/cell
Total magnetic moment   0.00 Bohr magnetons per cell
Formation energy   -650 meV/atom
DOS at the Fermi energy   9.880 states/eV/cell
Symmetry   R3m (160)
Raw total energy   -66.8 eV for the cell shown
Mass density   9.28 g/cm3

[4]
Computed, not measured: a relaxed Zr2AlSi crystal at the PBE level of DFT.

Cell lengths 3.5888, 3.5888, 8.2562 Å; angles 90.00, 90.00, 120.00 degrees
Closest atoms and distances in Å follow each position.
Fractional positions:
Zr  0.0000  0.0000  0.0000  3 Si 2.61
Zr  0.3333  0.6667  0.3833  3 Si 2.60, 1 Al 2.87
Al  0.3333  0.6667  0.7313  4 Zr 2.87-3.04
Si  0.6667  0.3333  0.1926  6 Zr 2.60-2.61

Summary:
Volume   92.1 Å³/cell
Total magnetic moment   0.48 Bohr magnetons per cell
DOS at the Fermi energy   3.913 states/eV/cell
Symmetry   P3m1 (156)
Formation energy from raw total energies   -0.035 eV per atom
Raw total energy   -26.4 eV for the cell shown
ΔE to the lowest computed polymorph   699 meV per atom
Mass density   4.28 g/cm3